Record 1
A plane-wave DFT calculation with PBE was carried out for a geometry-optimized CaNdAlTl structure.

Lattice parameters (Å, degrees): 5.3960 5.3960 5.3960 60.00 60.00 60.00
Closest atoms and distances in Å follow each position.
Fractional positions:
Nd 0.2500 0.2500 0.2500  4 Tl 3.30, 4 Al 3.30
Al 0.5000 0.5000 0.5000  4 Nd 3.30, 4 Ca 3.30
Tl 0.0000 0.0000 0.0000  4 Ca 3.30, 4 Nd 3.30
Ca 0.7500 0.7500 0.7500  4 Tl 3.30, 4 Al 3.30

Summary:
ΔE_f (meV/atom): -310
Space group: F-43m (216)
Electronic total energy (eV per cell): -14.12


Record 2
A plane-wave DFT calculation with PBE was carried out for a geometry-optimized RbSc2Cr structure.

Lattice parameters (Å, degrees): 7.3736 7.3736 7.3696 59.98 59.98 90.00
Closest atoms and distances in Å follow each position.
Fractional positions:
Cr 0.2500 0.7500 0.5000  4 Sc 2.26
Cr 0.5000 0.5000 0.0000  4 Sc 2.26
Rb 0.0000 0.0000 0.0000  12 Sc 4.32, 4 Rb 4.51, 4 Cr 4.51
Rb 0.7500 0.2500 0.5000  12 Sc 4.32, 4 Cr 4.51, 4 Rb 4.51
Sc 0.8750 0.6250 0.7500  2 Cr 2.26
Sc 0.3750 0.6250 0.2500  2 Cr 2.26
Sc 0.3750 0.6250 0.7500  2 Cr 2.26
Sc 0.3750 0.1250 0.2500  2 Cr 2.26

Summary:
ΔE_f (meV/atom): 1016
Space group: I4_1/amd (141)
Electronic total energy (eV per cell): -38.38
Distance to the lowest polymorph of the same formula (meV/atom): 345


Record 3
A plane-wave DFT calculation with PBE was carried out for a geometry-optimized Hf2GaHRh structure.

Lattice parameters (Å, degrees): 4.3817 4.3817 3.8374 90.00 90.00 90.00
Closest atoms and distances in Å follow each position.
Fractional positions:
H 0.0000 0.0000 0.0000  2 Rh 1.92
Ga 0.5000 0.5000 0.5000  8 Hf 2.91, 4 Rh 3.10
Rh 0.0000 0.0000 0.5000  2 H 1.92
Hf 0.5000 0.0000 0.0000  2 H 2.19
Hf 0.0000 0.5000 0.0000  2 H 2.19

Summary:
Space group: P4/mmm (123)
Electronic total energy (eV per cell): -36.14


Record 4
A plane-wave DFT calculation with PBE was carried out for a geometry-optimized NbSbSeI2 structure.

Lattice parameters (Å, degrees): 5.3215 5.3215 5.6902 90.00 90.00 90.00
Closest atoms and distances in Å follow each position.
Fractional positions:
I 0.0000 0.5000 0.0000  2 Nb 2.66
I 0.5000 0.0000 0.0000  2 Nb 2.66
Nb 0.0000 0.0000 0.0000  4 I 2.66, 2 Sb 2.85
Sb 0.0000 0.0000 0.5000  2 Nb 2.85
Se 0.5000 0.5000 0.5000  4 Sb 3.76, 8 I 3.90

Summary:
Space group: P4/mmm (123)
Electronic total energy (eV per cell): -18.71
Distance to the lowest polymorph of the same formula (meV/atom): 0
Formation energy without anion corrections (eV/atom): 0.41